# 1
VASP calculation (PBE-GGA) on Ca3NpN3 after structural relaxation.

Properties
Volume in Å³/cell: 248.72
Formation energy from raw total energies in eV per atom: -0.7405

Cell: 6.599 6.382 6.382 Å, 112.27 89.35 89.35°
Element x y z (fractional)
Ca 0.000 0.746 0.254
Ca 0.500 0.188 0.812
Ca 0.000 0.254 0.746
Ca 0.636 0.646 0.646
Ca 0.364 0.354 0.354
Ca 0.500 0.812 0.188
Np 0.129 0.776 0.776
Np 0.871 0.224 0.224
N 0.312 0.518 0.813
N 0.688 0.482 0.187
N 0.215 0.060 0.060
N 0.785 0.940 0.940
N 0.312 0.813 0.518
N 0.688 0.187 0.482

# 2
VASP calculation (PBE-GGA) on SrLiPb2 after structural relaxation.

Properties
Volume in Å³/cell: 119.38
VASP energy in eV per atom: -3.080

Cell: 4.908 3.711 6.648 Å, 80.38 90.00 90.00°
Element x y z (fractional)
Sr 0.500 0.250 0.250
Pb 0.000 0.616 0.530
Pb 0.000 0.884 0.970
Li 0.500 0.750 0.750

# 3
VASP calculation (PBE-GGA) on TlTeCl2 after structural relaxation.

Properties
Volume in Å³/cell: 115.99
Formation energy from raw total energies in eV per atom: -0.3113
E above lowest polymorph in meV/atom: 154

Cell: 3.624 6.843 4.677 Å, 90.00 90.00 90.00°
Element x y z (fractional)
Cl 0.000 0.000 0.000
Cl 0.500 0.500 0.000
Te 0.500 0.000 0.500
Tl 0.000 0.500 0.500